Below is BaCaMgHg2 after structural relaxation, with properties calculated at the PBE-GGA level.

a b c (Å): 4.6681 4.6681 9.4455
angles (deg): 90.00 90.00 120.00
Fractional positions:
1 Ba 0.0000 0.0000 0.9850
2 Ca 0.6667 0.3333 0.4009
3 Mg 0.3333 0.6667 0.6388
4 Hg 0.3333 0.6667 0.2327
5 Hg 0.6667 0.3333 0.7425

- DOS at the Fermi energy: 4.43 states/eV/f.u.
- Uncorrected energy: -1.51 eV per atom
- Size of the total moment: 0.00 μB/cell
- V: 178 Å³/cell
- Formation energy: -0.283 eV per atom
- SG: P3m1, No. 156